No. 1
# Nd6Si2O

An optimized crystal structure of Nd6Si2O (PBE, Alexandria via LeMat-Bulk).

Cell: 6.492 7.877 11.287 Å, 90.00 123.37 90.00°
Space group P2_1/c (No. 14)
Symmetry-distinct sites (fractional):
Nd1 0.112 0.164 0.447 (multiplicity 4)
Nd2 0.303 0.706 0.442 (multiplicity 4)
Nd3 0.369 0.035 0.244 (multiplicity 4)
Si1 0.196 0.114 0.755 (multiplicity 4)
O1 0.500 0.000 0.500 (multiplicity 2)

N(E_F) ... 1.1561 states/eV/atom
Total moment ... 1.14 μB per cell

---

No. 2
# Nd4Si2O

An optimized crystal structure of Nd4Si2O (PBE, Alexandria via LeMat-Bulk).

Cell: 4.687 4.687 16.119 Å, 90.00 90.00 90.00°
Space group I4/mmm (No. 139)
Symmetry-distinct sites (fractional):
Nd1 0.000 0.000 0.178 (multiplicity 4)
Nd2 0.000 0.500 0.000 (multiplicity 4)
Si1 0.000 0.000 0.364 (multiplicity 4)
O1 0.000 0.000 0.000 (multiplicity 2)

N(E_F) ... 1.0144 states/eV/atom
Total moment ... 0.00 μB per cell

---

No. 3
# Nd2SiO5

An optimized crystal structure of Nd2SiO5 (PBE, Alexandria via LeMat-Bulk).

Cell: 5.515 5.515 7.321 Å, 90.00 90.00 90.00°
Space group I4mm (No. 107)
Symmetry-distinct sites (fractional):
Nd1 0.000 0.500 0.000 (multiplicity 4)
Si1 0.000 0.000 0.261 (multiplicity 2)
O1 0.000 0.000 0.039 (multiplicity 2)
O2 0.219 0.219 0.318 (multiplicity 8)

Distance to the lowest polymorph of the same formula ... 325 meV per atom
N(E_F) ... 0.0000 states/eV/atom
Total moment ... 0.00 μB per cell

---

no.,raw formation energy (meV/atom),electronic total energy (eV per atom),calculated density (g/cm³)
1,-919,-5.85,6.46
2,-1133,-6.12,6.09
3,-2950,-7.92,5.91